# Li2Mg2Tl2CuPd PBE optimized geometry
# Electronic total energy (eV/atom): -2.82
data_Li2Mg2Tl2CuPd
_cell_length_a 4.617
_cell_length_b 4.617
_cell_length_c 6.535
_cell_angle_alpha 90.00
_cell_angle_beta 90.00
_cell_angle_gamma 90.00
_symmetry_space_group_name_H-M 'P -4 m 2'
_symmetry_Int_Tables_number 115
loop_
_symmetry_equiv_pos_as_xyz
'x,y,z'
'y,-x,-z'
'-x,-y,z'
'-y,x,-z'
'-x,y,z'
'-y,-x,-z'
'x,-y,z'
'y,x,-z'
loop_
_atom_site_label
_atom_site_fract_x
_atom_site_fract_y
_atom_site_fract_z
Li1 0.000 0.000 0.000
Li2 0.500 0.500 0.500
Mg1 0.000 0.500 0.246
Tl1 0.000 0.500 0.742
Cu1 0.000 0.000 0.500
Pd1 0.500 0.500 0.000